A plane-wave DFT calculation with PBE was carried out for a geometry-optimized KZr2W structure.

Cell: 3.003 3.003 11.553 Å, 90.00 90.00 114.10°
Fractional coordinates of all 4 atoms:
Zr  0.500  0.500  0.217
Zr  0.000  0.000  0.977
W  0.500  0.500  0.786
K  0.000  0.000  0.520

Calculated values
energy above the most stable polymorph in this dataset = 327 meV per atom
space-group type = Cmm2 (35)
total DFT energy (no corrections) = -28.36 eV/cell
formation energy = 696 meV per atom
theoretical density = 7.08 g/cm³